Record 1
Material: InAgPt2
Method: DFT, GGA-PBE
State: optimized geometry

The structure in POSCAR format:
```
InAgPt2
1.0
4.720 0.000 0.000
0.000 2.981 -0.006
0.000 0.008 4.901
In Pt Ag
1 2 1
direct
0.500 0.625 0.813 In
0.000 0.125 0.942 Pt
0.500 0.125 0.311 Pt
0.000 0.625 0.434 Ag
```

Energy relative to the elements = -0.236 eV/atom
Space-group type = Pmm2 (25)

***

Record 2
Material: InAgPt2
Method: DFT, GGA-PBE
State: optimized geometry

The structure in POSCAR format:
```
InAgPt2
1.0
7.391 0.000 0.000
0.000 7.391 0.000
3.696 3.696 2.780
Pt In Ag
4 2 2
direct
0.375 0.368 0.750 Pt
0.118 0.625 0.250 Pt
0.632 0.125 0.250 Pt
0.875 0.882 0.750 Pt
0.750 0.250 0.500 In
0.000 0.000 0.000 In
0.500 0.500 0.000 Ag
0.250 0.750 0.500 Ag
```

Energy relative to the elements = 0.010 eV/atom
Space-group type = I-42d (122)

***

Record 3
Material: Rb2InAgPt
Method: DFT, GGA-PBE
State: optimized geometry

The structure in POSCAR format:
```
Rb2InAgPt
1.0
6.296 0.000 0.000
0.000 5.183 0.000
0.000 0.000 6.296
Rb In Ag Pt
2 1 1 1
direct
0.500 0.000 0.000 Rb
0.000 0.000 0.500 Rb
0.500 0.500 0.500 In
0.000 0.000 0.000 Ag
0.000 0.500 0.000 Pt
```

Energy relative to the elements = 0.417 eV/atom
Space-group type = P4/mmm (123)

***

Record 4
Material: Sc4InAg2Pt
Method: DFT, GGA-PBE
State: optimized geometry

The structure in POSCAR format:
```
Sc4InAg2Pt
1.0
-0.305 3.668 -3.169
1.180 -0.710 -4.658
-7.182 -1.008 -4.198
Ag Sc Pt In
2 4 1 1
direct
0.742 0.742 0.775 Ag
0.258 0.258 0.225 Ag
0.868 0.868 0.395 Sc
0.616 0.616 0.153 Sc
0.132 0.132 0.605 Sc
0.384 0.384 0.847 Sc
0.500 0.500 0.500 Pt
0.000 0.000 0.000 In
```

Energy relative to the elements = -0.589 eV/atom
Space-group type = R-3m (166)

***

Record 5
Material: Sm4InAg2Pt
Method: DFT, GGA-PBE
State: optimized geometry

The structure in POSCAR format:
```
Sm4InAg2Pt
1.0
5.233 0.000 0.000
2.616 4.532 0.000
2.616 1.511 8.538
Sm In Ag Pt
4 1 2 1
direct
0.616 0.616 0.152 Sm
0.869 0.869 0.394 Sm
0.384 0.384 0.848 Sm
0.131 0.131 0.606 Sm
0.000 0.000 0.000 In
0.740 0.740 0.781 Ag
0.260 0.260 0.219 Ag
0.500 0.500 0.500 Pt
```

Energy relative to the elements = -0.565 eV/atom
Space-group type = R-3m (166)

***

Record 6
Material: SrInAgPt
Method: DFT, GGA-PBE
State: optimized geometry

The structure in POSCAR format:
```
SrInAgPt
1.0
-2.580 -1.038 4.211
-1.404 -4.745 0.995
2.212 -2.553 3.750
In Pt Sr Ag
1 1 1 1
direct
0.500 0.500 0.500 In
0.750 0.750 0.750 Pt
0.000 0.000 0.000 Sr
0.250 0.250 0.250 Ag
```

Energy relative to the lowest polymorph listed for this composition = 0.23 kcal/mol of atoms
Energy relative to the elements = -0.369 eV/atom
Space-group type = F-43m (216)

***

Record 7
Material: Sr2In3AgPt4
Method: DFT, GGA-PBE
State: optimized geometry

The structure in POSCAR format:
```
Sr2In3AgPt4
1.0
-1.770 3.938 0.510
-3.955 -1.798 0.157
0.985 -1.115 12.033
Pt In Ag Sr
4 3 1 2
direct
0.500 0.500 0.000 Pt
0.000 0.000 0.000 Pt
0.000 0.500 0.354 Pt
0.500 0.000 0.646 Pt
0.000 0.500 0.133 In
0.000 0.000 0.500 In
0.500 0.000 0.867 In
0.500 0.500 0.500 Ag
0.000 0.500 0.737 Sr
0.500 0.000 0.263 Sr
```

Energy relative to the elements = -0.601 eV/atom
Space-group type = P-4m2 (115)

***

Record 8
Material: SrInAgPt
Method: DFT, GGA-PBE
State: optimized geometry

The structure in POSCAR format:
```
SrInAgPt
1.0
4.299 0.000 0.000
0.000 4.299 0.000
0.000 0.000 11.297
Sr In Pt Ag
2 2 2 2
direct
0.250 0.250 0.733 Sr
0.750 0.750 0.267 Sr
0.750 0.250 0.000 In
0.250 0.750 0.000 In
0.250 0.250 0.151 Pt
0.750 0.750 0.849 Pt
0.250 0.750 0.500 Ag
0.750 0.250 0.500 Ag
```

Energy relative to the lowest polymorph listed for this composition = 0.00 kcal/mol of atoms
Energy relative to the elements = -0.379 eV/atom
Space-group type = P4/nmm (129)